1.
Entry from the Alexandria database: a geometry-optimized Cs2ScIBr6 structure (PBE-GGA).

Results
For the energy relative to the elements, uncorrected, the calculation gives -1346.3 meV per atom. As for the space group: I4/mmm, No. 139. The volume is 44.07 Å³/atom.

```
data_Cs2ScIBr6
_chemical_formula_sum 'Cs2 Sc1 I1 Br6'
_symmetry_space_group_name_H-M 'P 1'
_symmetry_Int_Tables_number 1
_symmetry_space_group_name_Hall 'P 1'
_cell_length_a 8.952
_cell_length_b 8.952
_cell_length_c 8.385
_cell_angle_alpha 57.74
_cell_angle_beta 57.74
_cell_angle_gamma 90.00
loop_
_atom_site_label
_atom_site_type_symbol
_atom_site_fract_x
_atom_site_fract_y
_atom_site_fract_z
Br1 Br 0.755 0.755 0.490
Br2 Br 0.294 0.706 0.000
Br3 Br 0.706 0.706 0.000
Br4 Br 0.706 0.294 0.000
Br5 Br 0.294 0.294 0.000
Br6 Br 0.245 0.245 0.510
I1 I 0.000 0.000 0.000
Cs1 Cs 0.250 0.750 0.500
Cs2 Cs 0.750 0.250 0.500
Sc1 Sc 0.500 0.500 0.000
```

***

2.
Entry from the Alexandria database: a geometry-optimized CsSe2IBr structure (PBE-GGA).

Results
For the energy relative to the elements, uncorrected, the calculation gives -235.7 meV per atom. As for the space group: P4/mmm, No. 123. The volume is 37.16 Å³/atom. Its energy above the most stable polymorph in this dataset is 0.0 meV per atom.

```
data_CsSe2IBr
_chemical_formula_sum 'Cs1 Se2 I1 Br1'
_symmetry_space_group_name_H-M 'P 1'
_symmetry_Int_Tables_number 1
_symmetry_space_group_name_Hall 'P 1'
_cell_length_a 5.513
_cell_length_b 5.513
_cell_length_c 6.113
_cell_angle_alpha 90.00
_cell_angle_beta 90.00
_cell_angle_gamma 90.00
loop_
_atom_site_label
_atom_site_type_symbol
_atom_site_fract_x
_atom_site_fract_y
_atom_site_fract_z
Br1 Br 0.000 0.000 0.500
Cs1 Cs 0.500 0.500 0.500
Se1 Se 0.500 0.000 0.000
Se2 Se 0.000 0.500 0.000
I1 I 0.000 0.000 0.000
```

***

3.
Entry from the Alexandria database: a geometry-optimized CsSe2IBr structure (PBE-GGA).

Results
For the energy relative to the elements, uncorrected, the calculation gives 749.3 meV per atom. As for the space group: P4/mmm, No. 123. The volume is 44.51 Å³/atom. Its energy above the most stable polymorph in this dataset is 985.0 meV per atom.

```
data_CsSe2IBr
_chemical_formula_sum 'Cs1 Se2 I1 Br1'
_symmetry_space_group_name_H-M 'P 1'
_symmetry_Int_Tables_number 1
_symmetry_space_group_name_Hall 'P 1'
_cell_length_a 5.798
_cell_length_b 5.798
_cell_length_c 6.620
_cell_angle_alpha 90.00
_cell_angle_beta 90.00
_cell_angle_gamma 90.00
loop_
_atom_site_label
_atom_site_type_symbol
_atom_site_fract_x
_atom_site_fract_y
_atom_site_fract_z
Se1 Se 0.500 0.000 0.000
Se2 Se 0.000 0.500 0.000
Cs1 Cs 0.000 0.000 0.000
I1 I 0.500 0.500 0.500
Br1 Br 0.000 0.000 0.500
```

***

4.
Entry from the Alexandria database: a geometry-optimized Cs2SeI6Br structure (PBE-GGA).

Results
For the energy relative to the elements, uncorrected, the calculation gives -620.9 meV per atom. As for the space group: I4/mmm, No. 139. The volume is 45.89 Å³/atom.

```
data_Cs2SeI6Br
_chemical_formula_sum 'Cs2 Se1 I6 Br1'
_symmetry_space_group_name_H-M 'P 1'
_symmetry_Int_Tables_number 1
_symmetry_space_group_name_Hall 'P 1'
_cell_length_a 8.440
_cell_length_b 8.440
_cell_length_c 8.782
_cell_angle_alpha 61.28
_cell_angle_beta 61.28
_cell_angle_gamma 90.00
loop_
_atom_site_label
_atom_site_type_symbol
_atom_site_fract_x
_atom_site_fract_y
_atom_site_fract_z
I1 I 0.742 0.742 0.000
I2 I 0.742 0.258 0.000
I3 I 0.258 0.258 0.000
I4 I 0.721 0.721 0.558
I5 I 0.258 0.742 0.000
I6 I 0.279 0.279 0.442
Se1 Se 0.500 0.500 0.000
Cs1 Cs 0.250 0.750 0.500
Cs2 Cs 0.750 0.250 0.500
Br1 Br 0.000 0.000 0.000
```

***

5.
Entry from the Alexandria database: a geometry-optimized Cs8SeI3Br3 structure (PBE-GGA).

Results
For the energy relative to the elements, uncorrected, the calculation gives -1534.9 meV per atom. As for the space group: C2/m, No. 12. The volume is 59.38 Å³/atom.

```
data_Cs8SeI3Br3
_chemical_formula_sum 'Cs8 Se1 I3 Br3'
_symmetry_space_group_name_H-M 'P 1'
_symmetry_Int_Tables_number 1
_symmetry_space_group_name_Hall 'P 1'
_cell_length_a 10.688
_cell_length_b 10.694
_cell_length_c 10.916
_cell_angle_alpha 119.38
_cell_angle_beta 90.00
_cell_angle_gamma 119.98
loop_
_atom_site_label
_atom_site_type_symbol
_atom_site_fract_x
_atom_site_fract_y
_atom_site_fract_z
Cs1 Cs 0.774 0.011 0.285
Cs2 Cs 0.226 0.452 0.716
Cs3 Cs 0.226 0.989 0.715
Cs4 Cs 0.745 0.489 0.734
Cs5 Cs 0.774 0.548 0.284
Cs6 Cs 0.255 0.511 0.266
Cs7 Cs 0.237 0.011 0.285
Cs8 Cs 0.763 0.989 0.715
Br1 Br 0.000 0.500 0.500
Br2 Br 0.500 0.500 0.500
Br3 Br 0.500 0.000 0.500
I1 I 0.000 0.500 0.000
I2 I 0.000 0.000 0.000
I3 I 0.500 0.500 0.000
Se1 Se 0.000 0.000 0.500
```

***

6.
Entry from the Alexandria database: a geometry-optimized CsSeI2Br structure (PBE-GGA).

Results
For the energy relative to the elements, uncorrected, the calculation gives -626.5 meV per atom. As for the space group: P4/mmm, No. 123. The volume is 40.02 Å³/atom.

```
data_CsSeI2Br
_chemical_formula_sum 'Cs1 Se1 I2 Br1'
_symmetry_space_group_name_H-M 'P 1'
_symmetry_Int_Tables_number 1
_symmetry_space_group_name_Hall 'P 1'
_cell_length_a 5.813
_cell_length_b 5.813
_cell_length_c 5.922
_cell_angle_alpha 90.00
_cell_angle_beta 90.00
_cell_angle_gamma 90.00
loop_
_atom_site_label
_atom_site_type_symbol
_atom_site_fract_x
_atom_site_fract_y
_atom_site_fract_z
Se1 Se 0.000 0.000 0.000
Cs1 Cs 0.500 0.500 0.500
I1 I 0.000 0.500 0.000
I2 I 0.500 0.000 0.000
Br1 Br 0.000 0.000 0.500
```

***

7.
Entry from the Alexandria database: a geometry-optimized Cs2SiI5Br structure (PBE-GGA).

Results
For the energy relative to the elements, uncorrected, the calculation gives -864.6 meV per atom. As for the space group: I4mm, No. 107. The volume is 44.22 Å³/atom.

```
data_Cs2SiI5Br
_chemical_formula_sum 'Cs2 Si1 I5 Br1'
_symmetry_space_group_name_H-M 'P 1'
_symmetry_Int_Tables_number 1
_symmetry_space_group_name_Hall 'P 1'
_cell_length_a 8.272
_cell_length_b 8.272
_cell_length_c 8.272
_cell_angle_alpha 89.38
_cell_angle_beta 120.36
_cell_angle_gamma 120.36
loop_
_atom_site_label
_atom_site_type_symbol
_atom_site_fract_x
_atom_site_fract_y
_atom_site_fract_z
I1 I 0.465 0.230 0.230
I2 I 0.000 0.227 0.227
I3 I 0.535 0.765 0.765
I4 I 0.000 0.230 0.765
I5 I 0.000 0.765 0.230
Cs1 Cs 0.500 0.249 0.749
Cs2 Cs 0.500 0.749 0.249
Si1 Si 0.000 0.996 0.996
Br1 Br 0.000 0.790 0.790
```

***

8.
Entry from the Alexandria database: a geometry-optimized Cs3Sn2I2Br5 structure (PBE-GGA).

Results
For the energy relative to the elements, uncorrected, the calculation gives -1248.9 meV per atom. As for the space group: I4/mmm, No. 139. The volume is 45.04 Å³/atom.

```
data_Cs3Sn2I2Br5
_chemical_formula_sum 'Cs3 Sn2 I2 Br5'
_symmetry_space_group_name_H-M 'P 1'
_symmetry_Int_Tables_number 1
_symmetry_space_group_name_Hall 'P 1'
_cell_length_a 5.900
_cell_length_b 5.900
_cell_length_c 16.074
_cell_angle_alpha 100.58
_cell_angle_beta 100.58
_cell_angle_gamma 90.00
loop_
_atom_site_label
_atom_site_type_symbol
_atom_site_fract_x
_atom_site_fract_y
_atom_site_fract_z
Cs1 Cs 0.824 0.824 0.648
Cs2 Cs 0.000 0.000 0.000
Cs3 Cs 0.176 0.176 0.352
Br1 Br 0.593 0.093 0.187
Br2 Br 0.407 0.907 0.813
Br3 Br 0.093 0.593 0.187
Br4 Br 0.907 0.407 0.813
Br5 Br 0.500 0.500 0.000
I1 I 0.698 0.698 0.395
I2 I 0.302 0.302 0.605
Sn1 Sn 0.404 0.404 0.807
Sn2 Sn 0.596 0.596 0.193
```